No. 1
Computed, not measured: an optimized crystal structure of NaCa2TlV at the PBE level of DFT.

The space group is P4/mmm (No. 123) and the conventional cell measures 5.825, 5.825 and 5.095 Å, with angles of 90.00, 90.00 and 90.00 degrees. The asymmetric unit holds Na at (0.000, 0.000, 0.000), Ca at (0.000, 0.500, 0.000), Tl at (0.500, 0.500, 0.500) and V at (0.000, 0.000, 0.500).

The value obtained for the calculated formation energy is 0.881 eV/atom. The calculation puts the calculated total energy at -12.40 eV for the cell shown.

No. 2
Computed, not measured: an optimized crystal structure of Na2CaTlZn at the PBE level of DFT.

The space group is P4/mmm (No. 123) and the conventional cell measures 5.812, 5.812 and 6.108 Å, with angles of 90.00, 90.00 and 90.00 degrees. The asymmetric unit holds Na at (0.000, 0.500, 0.000), Ca at (0.000, 0.000, 0.500), Tl at (0.000, 0.000, 0.000) and Zn at (0.500, 0.500, 0.500).

The value obtained for the calculated formation energy is 0.253 eV/atom. The calculation puts the calculated total energy at -7.01 eV for the cell shown.

No. 3
Computed, not measured: an optimized crystal structure of NaCaTlZn at the PBE level of DFT.

The space group is F-43m (No. 216) and the conventional cell measures 7.478, 7.478 and 7.478 Å, with angles of 90.00, 90.00 and 90.00 degrees. The asymmetric unit holds Na at (0.000, 0.000, 0.000), Ca at (0.000, 0.000, 0.500), Tl at (0.250, 0.250, 0.250) and Zn at (0.250, 0.250, 0.750).

The value obtained for the calculated formation energy is -0.126 eV/atom. The calculation puts the calculated total energy at -29.85 eV for the cell shown.

No. 4
Computed, not measured: an optimized crystal structure of Na2CaZrTl at the PBE level of DFT.

The space group is P4/mmm (No. 123) and the conventional cell measures 5.230, 5.230 and 5.704 Å, with angles of 90.00, 90.00 and 90.00 degrees. The asymmetric unit holds Na at (0.000, 0.500, 0.000), Ca at (0.000, 0.000, 0.000), Zr at (0.500, 0.500, 0.500) and Tl at (0.000, 0.000, 0.500).

The value obtained for the calculated formation energy is 1.057 eV/atom. The calculation puts the calculated total energy at -10.27 eV for the cell shown.

No. 5
Computed, not measured: an optimized crystal structure of NaCa2Tm at the PBE level of DFT.

The space group is R-3m (No. 166, hexagonal axes) and the conventional cell measures 3.6048, 3.6048 and 39.7660 Å, with angles of 90.00, 90.00 and 120.00 degrees. The asymmetric unit holds Na at (0.0000, 0.0000, 0.0000), Ca at (0.0000, 0.0000, 0.4147) and Tm at (0.0000, 0.0000, 0.5000).

The value obtained for the calculated formation energy is 0.281 eV/atom. The calculation puts the calculated total energy at -26.01 eV for the cell shown.

No. 6
Computed, not measured: an optimized crystal structure of NaCaTm at the PBE level of DFT.

The space group is P-3m1 (No. 164) and the conventional cell measures 5.8099, 5.8099 and 7.1256 Å, with angles of 90.00, 90.00 and 120.00 degrees. The asymmetric unit holds Na at (0.0000, 0.0000, 0.2335), Ca at (0.3333, 0.6667, 0.6044) and Tm at (0.3333, 0.6667, 0.0850).

The value obtained for the calculated formation energy is 0.271 eV/atom. The calculation puts the calculated total energy at -13.96 eV for the cell shown.

No. 7
Computed, not measured: an optimized crystal structure of NaCaTm at the PBE level of DFT.

The space group is P3m1 (No. 156) and the conventional cell measures 3.6371, 3.6371 and 9.2693 Å, with angles of 90.00, 90.00 and 120.00 degrees. The asymmetric unit holds Na at (0.0000, 0.0000, 0.0000), Ca at (0.6667, 0.3333, 0.3520) and Tm at (0.3333, 0.6667, 0.6711).

The value obtained for the calculated formation energy is 0.194 eV/atom. The calculation puts the calculated total energy at -7.21 eV for the cell shown.

No. 8
Computed, not measured: an optimized crystal structure of NaCa2Tm at the PBE level of DFT.

The space group is P4/mmm (No. 123) and the conventional cell measures 3.662, 3.662 and 11.070 Å, with angles of 90.00, 90.00 and 90.00 degrees. The asymmetric unit holds Na at (0.000, 0.000, 0.000), Ca at (0.500, 0.500, 0.263) and Tm at (0.000, 0.000, 0.500).

The value obtained for the calculated formation energy is 0.113 eV/atom. The calculation puts the calculated total energy at -9.34 eV for the cell shown.

No. 9
Computed, not measured: an optimized crystal structure of NaCa2Tm at the PBE level of DFT.

The space group is P4/mmm (No. 123) and the conventional cell measures 6.129, 6.129 and 3.883 Å, with angles of 90.00, 90.00 and 90.00 degrees. The asymmetric unit holds Na at (0.000, 0.000, 0.000), Ca at (0.000, 0.500, 0.500) and Tm at (0.500, 0.500, 0.000).

The value obtained for the calculated formation energy is 0.184 eV/atom. The calculation puts the calculated total energy at -9.06 eV for the cell shown.

No. 10
Computed, not measured: an optimized crystal structure of NaCa2Tm at the PBE level of DFT.

The space group is R3m (No. 160, hexagonal axes) and the conventional cell measures 3.7424, 3.7424 and 36.7796 Å, with angles of 90.00, 90.00 and 120.00 degrees. The asymmetric unit holds Na at (0.0000, 0.0000, 0.0000), Ca at (0.0000, 0.0000, 0.4207), Ca at (0.0000, 0.0000, 0.5794) and Tm at (0.0000, 0.0000, 0.8335).

The value obtained for the calculated formation energy is 0.109 eV/atom. The calculation puts the calculated total energy at -28.08 eV for the cell shown.

No. 11
Computed, not measured: an optimized crystal structure of Na3CaV at the PBE level of DFT.

The space group is Pm-3m (No. 221) and the conventional cell measures 6.072, 6.072 and 6.072 Å, with angles of 90.00, 90.00 and 90.00 degrees. The asymmetric unit holds Na at (0.000, 0.000, 0.500), Ca at (0.000, 0.000, 0.000) and V at (0.500, 0.500, 0.500).

The value obtained for the calculated formation energy is 1.293 eV/atom. The calculation puts the calculated total energy at -8.61 eV for the cell shown.

No. 12
Computed, not measured: an optimized crystal structure of NaCa2V at the PBE level of DFT.

The space group is I-42d (No. 122) and the conventional cell measures 8.694, 8.694 and 7.045 Å, with angles of 90.00, 90.00 and 90.00 degrees. The asymmetric unit holds Na at (0.000, 0.000, 0.000), Ca at (0.234, 0.250, 0.625) and V at (0.000, 0.000, 0.500).

The value obtained for the calculated formation energy is 0.729 eV/atom. The calculation puts the calculated total energy at -46.10 eV for the cell shown.

No. 13
Computed, not measured: an optimized crystal structure of Na3CaV at the PBE level of DFT.

The space group is Pm-3m (No. 221) and the conventional cell measures 5.726, 5.726 and 5.726 Å, with angles of 90.00, 90.00 and 90.00 degrees. The asymmetric unit holds Na at (0.000, 0.000, 0.500), Ca at (0.500, 0.500, 0.500) and V at (0.000, 0.000, 0.000).

The value obtained for the calculated formation energy is 0.831 eV/atom. The calculation puts the calculated total energy at -10.92 eV for the cell shown.

No. 14
Computed, not measured: an optimized crystal structure of NaCa3V at the PBE level of DFT.

The space group is Pm-3m (No. 221) and the conventional cell measures 5.956, 5.956 and 5.956 Å, with angles of 90.00, 90.00 and 90.00 degrees. The asymmetric unit holds Na at (0.000, 0.000, 0.000), Ca at (0.000, 0.500, 0.500) and V at (0.500, 0.500, 0.500).

The value obtained for the calculated formation energy is 0.559 eV/atom. The calculation puts the calculated total energy at -13.65 eV for the cell shown.

No. 15
Computed, not measured: an optimized crystal structure of NaCa3V at the PBE level of DFT.

The space group is Pm-3m (No. 221) and the conventional cell measures 5.837, 5.837 and 5.837 Å, with angles of 90.00, 90.00 and 90.00 degrees. The asymmetric unit holds Na at (0.000, 0.000, 0.000), Ca at (0.000, 0.000, 0.500) and V at (0.500, 0.500, 0.500).

The value obtained for the calculated formation energy is 1.002 eV/atom. The calculation puts the calculated total energy at -11.43 eV for the cell shown.

No. 16
Computed, not measured: an optimized crystal structure of NaCa2V at the PBE level of DFT.

The space group is Fm-3m (No. 225) and the conventional cell measures 7.930, 7.930 and 7.930 Å, with angles of 90.00, 90.00 and 90.00 degrees. The asymmetric unit holds Na at (0.000, 0.000, 0.000), Ca at (0.250, 0.250, 0.250) and V at (0.000, 0.000, 0.500).

The value obtained for the calculated formation energy is 0.504 eV/atom. The calculation puts the calculated total energy at -49.69 eV for the cell shown.

No. 17
Computed, not measured: an optimized crystal structure of NaCaW3 at the PBE level of DFT.

The space group is Pm-3m (No. 221) and the conventional cell measures 4.764, 4.764 and 4.764 Å, with angles of 90.00, 90.00 and 90.00 degrees. The asymmetric unit holds Na at (0.000, 0.000, 0.000), Ca at (0.500, 0.500, 0.500) and W at (0.000, 0.500, 0.500).

The value obtained for the calculated formation energy is 3.217 eV/atom. The calculation puts the calculated total energy at -26.10 eV for the cell shown.

No. 18
Computed, not measured: an optimized crystal structure of Na2Ca2W at the PBE level of DFT.

The space group is P4/mbm (No. 127) and the conventional cell measures 8.868, 8.868 and 3.465 Å, with angles of 90.00, 90.00 and 90.00 degrees. The asymmetric unit holds Na at (0.133, 0.367, 0.000), Ca at (0.175, 0.675, 0.500) and W at (0.000, 0.000, 0.500).

The value obtained for the calculated formation energy is 1.185 eV/atom. The calculation puts the calculated total energy at -27.34 eV for the cell shown.

No. 19
Computed, not measured: an optimized crystal structure of Na2Ca2W at the PBE level of DFT.

The space group is I4/mmm (No. 139) and the conventional cell measures 3.903, 3.903 and 20.244 Å, with angles of 90.00, 90.00 and 90.00 degrees. The asymmetric unit holds Na at (0.000, 0.500, 0.250), Ca at (0.000, 0.000, 0.085) and W at (0.000, 0.000, 0.500).

The value obtained for the calculated formation energy is 0.901 eV/atom. The calculation puts the calculated total energy at -30.18 eV for the cell shown.

No. 20
Computed, not measured: an optimized crystal structure of NaCaW3 at the PBE level of DFT.

The space group is Pm-3m (No. 221) and the conventional cell measures 4.712, 4.712 and 4.712 Å, with angles of 90.00, 90.00 and 90.00 degrees. The asymmetric unit holds Na at (0.000, 0.000, 0.000), Ca at (0.500, 0.500, 0.500) and W at (0.000, 0.000, 0.500).

The value obtained for the calculated formation energy is 2.825 eV/atom. The calculation puts the calculated total energy at -28.05 eV for the cell shown.